Entry 1:
Entry from Alexandria via LeMat-Bulk: CsSiAu3 after structural relaxation (GGA-PBE).

Cell lengths 6.8470, 6.8692, 7.5967 Å; angles 95.40, 116.61, 113.55 degrees
With the nearest neighbours (Å) after each atom.
Atoms (fractional coordinates):
Cs (0.0000, 0.0000, 0.0000)  8 Au 3.61-3.96, 1 Cs 3.94, 1 Si 4.03
Cs (0.3374, 0.6528, 0.9938)  8 Au 3.61-3.96, 1 Cs 3.94, 1 Si 4.03
Si (0.4535, 0.1660, 0.6212)  6 Au 2.42-2.67
Si (0.8866, 0.4897, 0.3726)  6 Au 2.42-2.67
Au (0.1700, 0.3278, 0.4969)  2 Si 2.48, 4 Au 2.78
Au (0.3601, 0.7704, 0.5009)  2 Si 2.50-2.65, 2 Au 2.78-2.79
Au (0.6110, 0.5135, 0.4940)  2 Si 2.49-2.67, 2 Au 2.78-2.79
Au (0.6701, 0.3279, 0.9969)  2 Si 2.42
Au (0.7289, 0.1419, 0.4996)  2 Si 2.49-2.67, 2 Au 2.78-2.79
Au (0.9800, 0.8853, 0.4932)  2 Si 2.50-2.65, 2 Au 2.78-2.79

Values from the calculation:
The calculation puts the total magnetization at 0.0 μB per formula unit. The density of states at the Fermi level comes out at 3.0 states/eV/cell. For the mass density, the calculation gives 9.0 g/cm3. For the formation energy (no corrections), the calculation gives -28 kJ per mole of atoms. Its symmetry is No. 1. For the calculated total energy, the calculation gives -3.51 eV per atom.


Entry 2:
Entry from Alexandria via LeMat-Bulk: Cs2SiAu3 after structural relaxation (GGA-PBE).

Cell lengths 8.8304, 8.8304, 5.6563 Å; angles 90.05, 90.05, 70.74 degrees
With the nearest neighbours (Å) after each atom.
Atoms (fractional coordinates):
Cs (0.0157, 0.6777, 0.7496)  6 Au 3.61-4.04
Cs (0.3223, 0.9843, 0.7504)  6 Au 3.61-4.04
Cs (0.6777, 0.0157, 0.2496)  6 Au 3.61-4.04
Cs (0.9843, 0.3223, 0.2504)  6 Au 3.61-4.04
Si (0.3742, 0.6258, 0.2500)  5 Au 2.48-2.51
Si (0.6258, 0.3742, 0.7500)  5 Au 2.48-2.51
Au (0.1315, 0.8685, 0.2500)  1 Si 2.48
Au (0.3873, 0.3874, 0.9996)  2 Si 2.51
Au (0.3874, 0.3873, 0.4996)  2 Si 2.51
Au (0.6127, 0.6126, 0.0004)  2 Si 2.51
Au (0.6126, 0.6127, 0.5004)  2 Si 2.51
Au (0.8685, 0.1315, 0.7500)  1 Si 2.48

Values from the calculation:
The calculation puts the total magnetization at 0.0 μB per formula unit. The density of states at the Fermi level comes out at 5.1 states/eV/cell. For the mass density, the calculation gives 7.1 g/cm3. For the formation energy (no corrections), the calculation gives -17 kJ per mole of atoms. Its symmetry is No. 15. For the calculated total energy, the calculation gives -3.01 eV per atom.


Entry 3:
Entry from Alexandria via LeMat-Bulk: CsSiAu3 after structural relaxation (GGA-PBE).

Cell lengths 9.0741, 9.0741, 8.7189 Å; angles 91.61, 91.61, 54.07 degrees
With the nearest neighbours (Å) after each atom.
Atoms (fractional coordinates):
Cs (0.1408, 0.8592, 0.7500)  6 Au 3.59-3.89, 2 Si 3.71, 1 Cs 3.91
Cs (0.3334, 0.6666, 0.2500)  6 Au 3.63-3.97, 2 Si 3.90, 1 Cs 3.91
Cs (0.6666, 0.3334, 0.7500)  6 Au 3.63-3.97, 2 Si 3.90, 1 Cs 3.91
Cs (0.8592, 0.1408, 0.2500)  6 Au 3.59-3.89, 2 Si 3.71, 1 Cs 3.91
Si (0.1985, 0.4309, 0.8403)  6 Au 2.46-2.62
Si (0.4309, 0.1985, 0.3403)  6 Au 2.46-2.62
Si (0.5691, 0.8015, 0.6597)  6 Au 2.46-2.62
Si (0.8015, 0.5691, 0.1597)  6 Au 2.46-2.62
Au (0.0286, 0.3203, 0.9796)  2 Si 2.52-2.62
Au (0.0926, 0.3494, 0.3080)  2 Si 2.53, 1 Au 2.83
Au (0.2665, 0.4047, 0.5655)  2 Si 2.46-2.50
Au (0.3203, 0.0286, 0.4796)  2 Si 2.52-2.62
Au (0.3494, 0.0926, 0.8080)  2 Si 2.53, 1 Au 2.83
Au (0.4047, 0.2665, 0.0655)  2 Si 2.46-2.50
Au (0.5953, 0.7335, 0.9345)  2 Si 2.46-2.50
Au (0.6506, 0.9074, 0.1920)  2 Si 2.53, 1 Au 2.83
Au (0.6797, 0.9714, 0.5204)  2 Si 2.52-2.62
Au (0.7335, 0.5953, 0.4345)  2 Si 2.46-2.50
Au (0.9074, 0.6506, 0.6920)  2 Si 2.53, 1 Au 2.83
Au (0.9714, 0.6797, 0.0204)  2 Si 2.52-2.62

Values from the calculation:
The calculation puts the total magnetization at 0.0 μB per formula unit. The density of states at the Fermi level comes out at 4.7 states/eV/cell. For the mass density, the calculation gives 8.6 g/cm3. For the formation energy (no corrections), the calculation gives -10 kJ per mole of atoms. Its symmetry is No. 15. For the calculated total energy, the calculation gives -3.33 eV per atom.


Entry 4:
Entry from Alexandria via LeMat-Bulk: CsSiAu3 after structural relaxation (GGA-PBE).

Cell lengths 5.2409, 7.2279, 9.0399 Å; angles 85.99, 73.52, 68.97 degrees
With the nearest neighbours (Å) after each atom.
Atoms (fractional coordinates):
Cs (0.0681, 0.2236, 0.1415)  7 Au 3.64-3.87, 1 Si 3.93
Cs (0.9319, 0.7764, 0.8585)  7 Au 3.64-3.87, 1 Si 3.93
Si (0.1945, 0.7074, 0.4061)  4 Au 2.41-2.50
Si (0.8055, 0.2926, 0.5939)  4 Au 2.41-2.50
Au (0.2530, 0.0027, 0.5003)  2 Si 2.49-2.50, 2 Au 2.57-2.67
Au (0.2990, 0.3845, 0.5219)  1 Si 2.43
Au (0.3826, 0.5993, 0.1377)  1 Si 2.41, 1 Au 2.70
Au (0.6174, 0.4007, 0.8623)  1 Si 2.41, 1 Au 2.70
Au (0.7010, 0.6155, 0.4781)  1 Si 2.43
Au (0.7470, 0.9973, 0.4997)  2 Si 2.49-2.50, 2 Au 2.57-2.67

Values from the calculation:
The calculation puts the total magnetization at 0.0 μB per formula unit. The density of states at the Fermi level comes out at 0.1 states/eV/cell. For the mass density, the calculation gives 8.2 g/cm3. For the formation energy (no corrections), the calculation gives -23 kJ per mole of atoms. Its symmetry is No. 2. For the calculated total energy, the calculation gives -3.46 eV per atom.


Entry 5:
Entry from Alexandria via LeMat-Bulk: Cs2Si2Au after structural relaxation (GGA-PBE).

Cell lengths 6.7188, 6.7188, 6.2502 Å; angles 90.00, 90.00, 90.00 degrees
With the nearest neighbours (Å) after each atom.
Atoms (fractional coordinates):
Cs (0.1827, 0.3173, 0.0000)  5 Cs 3.47-3.48, 6 Si 3.61-3.77
Cs (0.3173, 0.8173, 0.0000)  5 Cs 3.47-3.48, 6 Si 3.61-3.77
Cs (0.6827, 0.1827, 0.0000)  5 Cs 3.47-3.48, 6 Si 3.61-3.77
Cs (0.8173, 0.6827, 0.0000)  5 Cs 3.47-3.48, 6 Si 3.61-3.77
Si (0.1267, 0.6267, 0.5000)  1 Si 2.41, 2 Au 2.65
Si (0.3733, 0.1267, 0.5000)  1 Si 2.41, 2 Au 2.65
Si (0.6267, 0.8733, 0.5000)  1 Si 2.41, 2 Au 2.65
Si (0.8733, 0.3733, 0.5000)  1 Si 2.41, 2 Au 2.65
Au (0.0000, 0.0000, 0.5000)  4 Si 2.65
Au (0.5000, 0.5000, 0.5000)  4 Si 2.65

Values from the calculation:
The calculation puts the total magnetization at 0.0 μB per formula unit. The density of states at the Fermi level comes out at 5.4 states/eV/cell. For the mass density, the calculation gives 6.1 g/cm3. For the formation energy (no corrections), the calculation gives 16 kJ per mole of atoms. Its symmetry is No. 127. For the calculated total energy, the calculation gives -3.00 eV per atom.


Entry 6:
Entry from Alexandria via LeMat-Bulk: CsSi4Au4 after structural relaxation (GGA-PBE).

Cell lengths 7.5269, 7.5269, 7.5269 Å; angles 93.93, 93.93, 149.67 degrees
With the nearest neighbours (Å) after each atom.
Atoms (fractional coordinates):
Cs (0.0000, 0.0000, 0.0000)  8 Au 3.53, 4 Si 3.89, 2 Cs 3.94
Si (0.2114, 0.6854, 0.8969)  4 Au 2.43-2.63, 2 Si 2.50
Si (0.3146, 0.2114, 0.5260)  4 Au 2.43-2.63, 2 Si 2.50
Si (0.6854, 0.7886, 0.4740)  4 Au 2.43-2.63, 2 Si 2.50
Si (0.7886, 0.3146, 0.1031)  4 Au 2.43-2.63, 2 Si 2.50
Au (0.2193, 0.4494, 0.6687)  4 Si 2.43-2.63
Au (0.4494, 0.7807, 0.2301)  4 Si 2.43-2.63
Au (0.5506, 0.2193, 0.7699)  4 Si 2.43-2.63
Au (0.7807, 0.5506, 0.3313)  4 Si 2.43-2.63

Values from the calculation:
The calculation puts the total magnetization at 0.0 μB per formula unit. The density of states at the Fermi level comes out at 1.9 states/eV/cell. For the mass density, the calculation gives 8.3 g/cm3. For the formation energy (no corrections), the calculation gives -6 kJ per mole of atoms. Its symmetry is No. 87. For the calculated total energy, the calculation gives -4.03 eV per atom.